Entry from Alexandria via LeMat-Bulk: an optimized crystal structure of CsDy2Fe2O6 (GGA+U).

a b c (Å): 6.246 6.478 6.722
angles (deg): 61.20 63.69 61.89
Space group P-1 (No. 2)
Inequivalent atoms, fractional coordinates:
Cs  0.000  0.000  0.000 x1
Dy  0.321  0.315  0.047 x2
Fe  0.347  0.706  0.544 x2
O  0.087  0.573  0.759 x2
O  0.394  0.898  0.227 x2
O  0.489  0.645  0.771 x2

Computed properties:
Crystal system: triclinic
Magnetic moment: 0.818 μB/atom
Total energy: -75.9 eV per cell